Material: MgSbS2O8
Method: DFT, GGA-PBE
State: relaxed

The space group is P-3m1 (No. 164) and the conventional cell measures 5.1852, 5.1852 and 6.9812 Å, with angles of 90.00, 90.00 and 120.00 degrees. The asymmetric unit holds Mg at (0.0000, 0.0000, 0.0000), Sb at (0.0000, 0.0000, 0.5000), S at (0.3333, 0.6667, 0.7362), O at (0.1764, 0.3528, 0.8076) and O at (0.3333, 0.6667, 0.5249).

The formation energy from raw total energies comes out at -1.419 eV per atom. The value obtained for the density of states at the Fermi level is 1.97 states/eV per cell. Its volume is 13.546 A^3/atom. For the theoretical density, the calculation gives 3.45 g/cm3. The uncorrected energy comes out at -70.7 eV per formula unit. The crystal system is trigonal.